[1]
{"formula": "Ho4SeO5", "functional": "PBE", "state": "optimized geometry", "lattice": [[7.0489, 0.0000, 0.0000], [0.0000, 9.1370, 0.0000], [0.0000, 0.0000, 5.5895]], "species": ["Ho", "Ho", "Ho", "Ho", "Ho", "Ho", "Ho", "Ho", "Se", "Se", "O", "O", "O", "O", "O", "O", "O", "O", "O", "O"], "frac_coords": [[0.0102, 0.2500, 0.0346], [0.2500, 0.0285, 0.5377], [0.2500, 0.4715, 0.5377], [0.4898, 0.2500, 0.0346], [0.5102, 0.7500, 0.9654], [0.7500, 0.5285, 0.4623], [0.7500, 0.9715, 0.4623], [0.9898, 0.7500, 0.9654], [0.2500, 0.7500, 0.3149], [0.7500, 0.2500, 0.6851], [0.0077, 0.0725, 0.2751], [0.0077, 0.4275, 0.2751], [0.2500, 0.2500, 0.7824], [0.4923, 0.0725, 0.2751], [0.4923, 0.4275, 0.2751], [0.5077, 0.5725, 0.7249], [0.5077, 0.9275, 0.7249], [0.7500, 0.7500, 0.2176], [0.9923, 0.5725, 0.7249], [0.9923, 0.9275, 0.7249]], "mass_density_g_cm3": 7.55, "raw_formation_energy_mev_per_atom": -3046, "dft_energy_ev_per_atom": -7.704}

[2]
{"formula": "LaNdCuO4", "functional": "PBE", "state": "optimized geometry", "lattice": [[-1.8948, 1.8948, 6.5366], [1.8948, -1.8948, 6.5366], [1.8948, 1.8948, -6.5366]], "species": ["La", "Nd", "Cu", "O", "O", "O", "O"], "frac_coords": [[0.0000, 0.0000, 0.0000], [0.2769, 0.2769, 0.0000], [0.6414, 0.6414, 0.0000], [0.1448, 0.6448, 0.5000], [0.4545, 0.4545, 0.0000], [0.6448, 0.1448, 0.5000], [0.8250, 0.8250, 0.0000]], "relative_energy_mev_per_atom": 86, "mass_density_g_cm3": 7.26, "raw_formation_energy_mev_per_atom": -2525, "dft_energy_ev_per_atom": -7.328}